No. 1
A plane-wave DFT calculation with PBE was carried out for SmCo2AsN after structural relaxation.

For the uncorrected formation energy, the calculation gives -3.74 eV per formula unit. The calculation puts the total energy at -7.129 eV per atom. The calculation puts the total magnetization at 1.29 μB/f.u.

It has space group Cmcm (No. 63), with a = 3.6464 Å, b = 11.0480 Å, c = 6.8874 Å, α = 90.00°, β = 90.00° and γ = 90.00°. The distinct sites, in fractional coordinates, are Sm at (0.0000, 0.0381, 0.2500), Co at (0.0000, 0.3367, 0.0512), As at (0.0000, 0.2324, 0.7500) and N at (0.0000, 0.5000, 0.0000).

No. 2
A plane-wave DFT calculation with PBE was carried out for CrIr2Br after structural relaxation.

The value obtained for the energy above the most stable polymorph in this dataset is 589.3 meV per atom. For the uncorrected formation energy, the calculation gives 3.99 eV per formula unit. The calculation puts the total energy at -6.256 eV per atom. The calculation puts the total magnetization at 3.18 μB/f.u.

It has space group Fm-3m (No. 225), with a = 6.3237 Å, b = 6.3237 Å, c = 6.3237 Å, α = 90.00°, β = 90.00° and γ = 90.00°. The distinct sites, in fractional coordinates, are Cr at (0.0000, 0.0000, 0.0000), Ir at (0.2500, 0.2500, 0.2500) and Br at (0.0000, 0.0000, 0.5000).

No. 3
A plane-wave DFT calculation with PBE was carried out for RbZn2Ga after structural relaxation.

The calculation puts the total energy at -1.653 eV per atom. The calculation puts the total magnetization at 0.00 μB/f.u.

It has space group R-3m (No. 166, hexagonal axes), with a = 4.4545 Å, b = 4.4545 Å, c = 19.4059 Å, α = 90.00°, β = 90.00° and γ = 120.00°. The distinct sites, in fractional coordinates, are Rb at (0.0000, 0.0000, 0.0000), Zn at (0.0000, 0.0000, 0.1894) and Ga at (0.0000, 0.0000, 0.5000).

No. 4
A plane-wave DFT calculation with PBE was carried out for PuAs4Pd6 after structural relaxation.

The value obtained for the energy above the most stable polymorph in this dataset is 43.4 meV per atom. The calculation puts the total energy at -6.273 eV per atom. The calculation puts the total magnetization at 5.55 μB/f.u.

It has space group I-42m (No. 121), with a = 6.7241 Å, b = 6.7241 Å, c = 9.0879 Å, α = 90.00°, β = 90.00° and γ = 90.00°. The distinct sites, in fractional coordinates, are Pu at (0.0000, 0.0000, 0.0000), As at (0.2213, 0.2213, 0.6393), Pd at (0.0000, 0.5000, 0.0000) and Pd at (0.1496, 0.1496, 0.3698).

No. 5
A plane-wave DFT calculation with PBE was carried out for CaCeSmHo after structural relaxation.

The calculation puts the total energy at -4.065 eV per atom. The calculation puts the total magnetization at 2.14 μB/f.u.

It has space group F-43m (No. 216), with a = 8.1768 Å, b = 8.1768 Å, c = 8.1768 Å, α = 90.00°, β = 90.00° and γ = 90.00°. The distinct sites, in fractional coordinates, are Ca at (0.0000, 0.0000, 0.0000), Ce at (0.0000, 0.0000, 0.5000), Sm at (0.2500, 0.2500, 0.2500) and Ho at (0.2500, 0.2500, 0.7500).

No. 6
A plane-wave DFT calculation with PBE was carried out for Mn2NiRu after structural relaxation.

The calculation puts the total energy at -8.272 eV per atom. The calculation puts the total magnetization at 2.14 μB/f.u.

It has space group P4/mmm (No. 123), with a = 3.6231 Å, b = 3.6231 Å, c = 3.5874 Å, α = 90.00°, β = 90.00° and γ = 90.00°. The distinct sites, in fractional coordinates, are Mn at (0.0000, 0.5000, 0.0000), Ni at (0.0000, 0.0000, 0.5000) and Ru at (0.5000, 0.5000, 0.5000).

No. 7
A plane-wave DFT calculation with PBE was carried out for ZrSc after structural relaxation.

The calculation puts the total energy at -7.442 eV per atom. The calculation puts the total magnetization at 0.06 μB/f.u.

It has space group P-3m1 (No. 164), with a = 3.2682 Å, b = 3.2682 Å, c = 10.3050 Å, α = 90.00°, β = 90.00° and γ = 120.00°. The distinct sites, in fractional coordinates, are Zr at (0.3333, 0.6667, 0.3756) and Sc at (0.3333, 0.6667, 0.8709).

No. 8
A plane-wave DFT calculation with PBE was carried out for Ga7Cu3 after structural relaxation.

The calculation puts the total energy at -3.393 eV per atom. The calculation puts the total magnetization at 0.00 μB/f.u.

It has space group Im-3m (No. 229), with a = 8.7254 Å, b = 8.7254 Å, c = 8.7254 Å, α = 90.00°, β = 90.00° and γ = 90.00°. The distinct sites, in fractional coordinates, are Ga at (0.0000, 0.2500, 0.5000), Ga at (0.1648, 0.1648, 0.1648) and Cu at (0.0000, 0.0000, 0.3459).

No. 9
A plane-wave DFT calculation with PBE was carried out for YSc4Rh2 after structural relaxation.

The calculation puts the total energy at -7.180 eV per atom. The calculation puts the total magnetization at 0.00 μB/f.u.

It has space group P2_1/m (No. 11), with a = 7.3943 Å, b = 5.9074 Å, c = 7.6118 Å, α = 90.00°, β = 112.54° and γ = 90.00°. The distinct sites, in fractional coordinates, are Y at (0.0139, 0.2500, 0.1582), Sc at (0.2420, 0.9997, 0.5898), Sc at (0.3435, 0.7500, 0.2574), Sc at (0.3900, 0.2500, 0.0139), Rh at (0.0102, 0.2500, 0.7323) and Rh at (0.4214, 0.2500, 0.3724).

No. 10
A plane-wave DFT calculation with PBE was carried out for SrCaIn4 after structural relaxation.

The value obtained for the energy above the most stable polymorph in this dataset is 0.0 meV per atom. The calculation puts the total energy at -2.853 eV per atom. The calculation puts the total magnetization at 0.00 μB/f.u.

It has space group Imm2 (No. 44), with a = 5.0336 Å, b = 7.9434 Å, c = 8.7538 Å, α = 90.00°, β = 90.00° and γ = 90.00°. The distinct sites, in fractional coordinates, are Sr at (0.0000, 0.0000, 0.0000), Ca at (0.0000, 0.5000, 0.9162), In at (0.0000, 0.1954, 0.6178) and In at (0.0000, 0.3023, 0.2948).

No. 11
A plane-wave DFT calculation with PBE was carried out for PmTiSbPd after structural relaxation.

For the uncorrected formation energy, the calculation gives -1.95 eV per formula unit. The calculation puts the total energy at -5.978 eV per atom. The calculation puts the total magnetization at 2.08 μB/f.u.

It has space group F-43m (No. 216), with a = 7.0818 Å, b = 7.0818 Å, c = 7.0818 Å, α = 90.00°, β = 90.00° and γ = 90.00°. The distinct sites, in fractional coordinates, are Pm at (0.0000, 0.0000, 0.0000), Ti at (0.0000, 0.0000, 0.5000), Sb at (0.2500, 0.2500, 0.7500) and Pd at (0.2500, 0.2500, 0.2500).

No. 12
A plane-wave DFT calculation with PBE was carried out for AsOsRu2 after structural relaxation.

The calculation puts the total energy at -8.313 eV per atom. The calculation puts the total magnetization at 0.00 μB/f.u.

It has space group C2/m (No. 12), with a = 5.7224 Å, b = 7.1624 Å, c = 2.8162 Å, α = 90.00°, β = 90.12° and γ = 90.00°. The distinct sites, in fractional coordinates, are As at (0.0000, 0.0000, 0.0000), Os at (0.0000, 0.5000, 0.0000) and Ru at (0.2500, 0.2500, 0.5000).

No. 13
A plane-wave DFT calculation with PBE was carried out for UGaNi after structural relaxation.

The calculation puts the total energy at -7.014 eV per atom. The calculation puts the total magnetization at 0.01 μB/f.u.

It has space group Pnma (No. 62), with a = 7.1958 Å, b = 3.6743 Å, c = 7.4760 Å, α = 90.00°, β = 90.00° and γ = 90.00°. The distinct sites, in fractional coordinates, are U at (0.0189, 0.2500, 0.1255), Ga at (0.1311, 0.2500, 0.5598) and Ni at (0.2077, 0.7500, 0.3505).

No. 14
A plane-wave DFT calculation with PBE was carried out for BaAcTlPb after structural relaxation.

The value obtained for the energy above the most stable polymorph in this dataset is 34.1 meV per atom. The calculation puts the total energy at -3.441 eV per atom. The calculation puts the total magnetization at 0.00 μB/f.u.

It has space group F-43m (No. 216), with a = 8.4373 Å, b = 8.4373 Å, c = 8.4373 Å, α = 90.00°, β = 90.00° and γ = 90.00°. The distinct sites, in fractional coordinates, are Ba at (0.0000, 0.0000, 0.0000), Ac at (0.0000, 0.0000, 0.5000), Tl at (0.2500, 0.2500, 0.2500) and Pb at (0.2500, 0.2500, 0.7500).

No. 15
A plane-wave DFT calculation with PBE was carried out for K2CuCl5 after structural relaxation.

The value obtained for the energy above the most stable polymorph in this dataset is 0.0 meV per atom. For the uncorrected formation energy, the calculation gives -9.32 eV per formula unit. The calculation puts the total energy at -3.105 eV per atom. The calculation puts the total magnetization at 0.00 μB/f.u.

It has space group I4mm (No. 107), with a = 7.1804 Å, b = 7.1804 Å, c = 8.7242 Å, α = 90.00°, β = 90.00° and γ = 90.00°. The distinct sites, in fractional coordinates, are K at (0.0000, 0.5000, 0.0000), Cu at (0.0000, 0.0000, 0.2232), Cl at (0.0000, 0.0000, 0.9283) and Cl at (0.2189, 0.2189, 0.2556).

No. 16
A plane-wave DFT calculation with PBE was carried out for BeAsP2 after structural relaxation.

The value obtained for the energy above the most stable polymorph in this dataset is 565.3 meV per atom. The calculation puts the total energy at -4.219 eV per atom. The calculation puts the total magnetization at 0.00 μB/f.u.

It has space group Pmmm (No. 47), with a = 3.2544 Å, b = 3.4433 Å, c = 5.5980 Å, α = 90.00°, β = 90.00° and γ = 90.00°. The distinct sites, in fractional coordinates, are Be at (0.0000, 0.0000, 0.0000), As at (0.5000, 0.5000, 0.0000), P at (0.0000, 0.5000, 0.5000) and P at (0.5000, 0.0000, 0.5000).

No. 17
A plane-wave DFT calculation with PBE was carried out for AlTcSn after structural relaxation.

The calculation puts the total energy at -6.046 eV per atom. The calculation puts the total magnetization at 0.11 μB/f.u.

It has space group P2_1/c (No. 14), with a = 6.9264 Å, b = 6.1804 Å, c = 5.4325 Å, α = 90.00°, β = 105.48° and γ = 90.00°. The distinct sites, in fractional coordinates, are Al at (0.2291, 0.1302, 0.3308), Tc at (0.4934, 0.6262, 0.7461) and Sn at (0.1857, 0.6138, 0.3079).

No. 18
A plane-wave DFT calculation with PBE was carried out for BaSi2Au after structural relaxation.

For the uncorrected formation energy, the calculation gives -0.89 eV per formula unit. The calculation puts the total energy at -4.234 eV per atom. The calculation puts the total magnetization at 0.00 μB/f.u.

It has space group Immm (No. 71), with a = 4.3603 Å, b = 6.6750 Å, c = 7.5562 Å, α = 90.00°, β = 90.00° and γ = 90.00°. The distinct sites, in fractional coordinates, are Ba at (0.0000, 0.0000, 0.0000), Si at (0.0000, 0.5000, 0.1602) and Au at (0.0000, 0.0000, 0.5000).

No. 19
A plane-wave DFT calculation with PBE was carried out for MnPb2 after structural relaxation.

The calculation puts the total energy at -5.196 eV per atom. The calculation puts the total magnetization at 3.63 μB/f.u.

It has space group Cm (No. 8), with a = 10.7282 Å, b = 3.2975 Å, c = 8.7287 Å, α = 90.00°, β = 98.24° and γ = 90.00°. The distinct sites, in fractional coordinates, are Mn at (0.0000, 0.0000, 0.0000), Mn at (0.1405, 0.5000, 0.2173), Pb at (0.0005, 0.5000, 0.7144), Pb at (0.2157, 0.0000, 0.5194), Pb at (0.2635, 0.0000, 0.9759) and Pb at (0.4236, 0.5000, 0.3058).

No. 20
A plane-wave DFT calculation with PBE was carried out for Nd2TmBr after structural relaxation.

The value obtained for the energy above the most stable polymorph in this dataset is 0.0 meV per atom. For the uncorrected formation energy, the calculation gives -2.15 eV per formula unit. The calculation puts the total energy at -4.458 eV per atom. The calculation puts the total magnetization at 0.00 μB/f.u.

It has space group R-3m (No. 166, hexagonal axes), with a = 3.6963 Å, b = 3.6963 Å, c = 31.7177 Å, α = 90.00°, β = 90.00° and γ = 120.00°. The distinct sites, in fractional coordinates, are Nd at (0.0000, 0.0000, 0.2432), Tm at (0.0000, 0.0000, 0.0000) and Br at (0.0000, 0.0000, 0.5000).

No. 21
A plane-wave DFT calculation with PBE was carried out for HPd2Rh after structural relaxation.

The value obtained for the energy above the most stable polymorph in this dataset is 203.4 meV per atom. The calculation puts the total energy at -5.022 eV per atom. The calculation puts the total magnetization at 1.45 μB/f.u.

It has space group P4/mmm (No. 123), with a = 2.7044 Å, b = 2.7044 Å, c = 6.6799 Å, α = 90.00°, β = 90.00° and γ = 90.00°. The distinct sites, in fractional coordinates, are H at (0.0000, 0.0000, 0.0000), Pd at (0.5000, 0.5000, 0.1985) and Rh at (0.0000, 0.0000, 0.5000).

No. 22
A plane-wave DFT calculation with PBE was carried out for Sb4TeRh after structural relaxation.

For the uncorrected formation energy, the calculation gives 4.26 eV per formula unit. The calculation puts the total energy at -3.787 eV per atom. The calculation puts the total magnetization at 0.58 μB/f.u.

It has space group F-43m (No. 216), with a = 8.6637 Å, b = 8.6637 Å, c = 8.6637 Å, α = 90.00°, β = 90.00° and γ = 90.00°. The distinct sites, in fractional coordinates, are Sb at (0.1252, 0.1252, 0.1252), Te at (0.2500, 0.2500, 0.7500) and Rh at (0.0000, 0.0000, 0.5000).

No. 23
A plane-wave DFT calculation with PBE was carried out for La2HoZn after structural relaxation.

The value obtained for the energy above the most stable polymorph in this dataset is 29.6 meV per atom. The calculation puts the total energy at -4.053 eV per atom. The calculation puts the total magnetization at 0.00 μB/f.u.

It has space group P4/mmm (No. 123), with a = 3.7450 Å, b = 3.7450 Å, c = 8.7458 Å, α = 90.00°, β = 90.00° and γ = 90.00°. The distinct sites, in fractional coordinates, are La at (0.0000, 0.0000, 0.2139), Ho at (0.5000, 0.5000, 0.5000) and Zn at (0.5000, 0.5000, 0.0000).

No. 24
A plane-wave DFT calculation with PBE was carried out for Li2YEr2Pb2 after structural relaxation.

The calculation puts the total energy at -4.135 eV per atom. The calculation puts the total magnetization at 0.00 μB/f.u.

It has space group R-3m (No. 166, hexagonal axes), with a = 4.8286 Å, b = 4.8286 Å, c = 26.4762 Å, α = 90.00°, β = 90.00° and γ = 120.00°. The distinct sites, in fractional coordinates, are Li at (0.0000, 0.0000, 0.0936), Y at (0.0000, 0.0000, 0.5000), Er at (0.0000, 0.0000, 0.3704) and Pb at (0.0000, 0.0000, 0.2366).

No. 25
A plane-wave DFT calculation with PBE was carried out for Tb3Cd2Ag6 after structural relaxation.

The calculation puts the total energy at -3.074 eV per atom. The calculation puts the total magnetization at 0.00 μB/f.u.

It has space group I4/mmm (No. 139), with a = 3.9485 Å, b = 3.9485 Å, c = 32.9920 Å, α = 90.00°, β = 90.00° and γ = 90.00°. The distinct sites, in fractional coordinates, are Tb at (0.0000, 0.0000, 0.0000), Tb at (0.0000, 0.0000, 0.1819), Cd at (0.0000, 0.0000, 0.3639), Ag at (0.0000, 0.0000, 0.2728) and Ag at (0.0000, 0.5000, 0.0723).

No. 26
A plane-wave DFT calculation with PBE was carried out for Pm2AlTe4 after structural relaxation.

For the uncorrected formation energy, the calculation gives -7.11 eV per formula unit. The calculation puts the total energy at -4.703 eV per atom. The calculation puts the total magnetization at 0.00 μB/f.u.

It has space group C2/m (No. 12), with a = 15.6488 Å, b = 4.3266 Å, c = 7.6531 Å, α = 90.00°, β = 119.22° and γ = 90.00°. The distinct sites, in fractional coordinates, are Pm at (0.2446, 0.0000, 0.2308), Al at (0.0000, 0.5000, 0.5000), Te at (0.1068, 0.5000, 0.9334) and Te at (0.1136, 0.0000, 0.4486).